Entry 1:
## Ta2AlTcH (PBE-GGA)

Data for an optimized crystal structure of Ta2AlTcH.

abc: 4.148 4.148 3.957
angles: 90.00 90.00 90.00
Fractional coordinates of all 5 atoms:
Al 0.500 0.500 0.500
Tc 0.000 0.000 0.500
Ta 0.500 0.000 0.000
Ta 0.000 0.500 0.000
H 0.000 0.000 0.000

- total magnetization (μB/f.u.) = 0.00
- calculated total energy (eV per atom) = -8.389

---

Entry 2:
## TaTiAl2H (PBE-GGA)

Data for an optimized crystal structure of TaTiAl2H.

abc: 4.087 4.087 4.052
angles: 90.00 90.00 90.00
Fractional coordinates of all 5 atoms:
H 0.000 0.000 0.000
Al 0.000 0.500 0.000
Al 0.500 0.000 0.000
Ti 0.500 0.500 0.500
Ta 0.000 0.000 0.500

- total magnetization (μB/f.u.) = 0.00
- ΔE to the lowest computed polymorph (eV per formula unit) = 0.25